No. 1
The following is a PBE calculation of crystalline NaLa2Sn4Pt3 at its relaxed geometry, from the Alexandria database.

The structure in POSCAR format:
```
NaLa2Sn4Pt3
1.0
4.6067 0.0000 0.0000
0.0000 4.6067 0.0000
0.0000 0.0000 11.2727
Na La Sn Pt
1 2 4 3
Cartesian
0.0000 0.0000 0.0000 Na
0.0000 2.3034 8.4135 La
2.3034 0.0000 2.8592 La
0.0000 0.0000 5.6364 Sn
0.0000 2.3034 1.5952 Sn
2.3034 0.0000 9.6775 Sn
2.3034 2.3034 5.6364 Sn
0.0000 2.3034 4.2251 Pt
2.3034 0.0000 7.0476 Pt
2.3034 2.3034 0.0000 Pt
```

Energy relative to the elements = -740 meV/atom

No. 2
The following is a PBE calculation of crystalline Ti2HgPd2 at its relaxed geometry, from the Alexandria database.

The structure in POSCAR format:
```
Ti2HgPd2
1.0
7.5361 0.0000 0.0000
0.0000 7.5361 0.0000
0.0000 0.0000 3.0061
Ti Hg Pd
4 2 4
Cartesian
1.2679 2.5002 0.0000 Ti
2.5002 6.2682 0.0000 Ti
5.0359 1.2679 0.0000 Ti
6.2682 5.0359 0.0000 Ti
0.0000 0.0000 1.5031 Hg
3.7680 3.7680 1.5031 Hg
0.9670 4.7350 1.5031 Pd
2.8010 0.9670 1.5031 Pd
4.7350 6.5690 1.5031 Pd
6.5690 2.8010 1.5031 Pd
```

Relative energy among the computed polymorphs = 24 meV per atom
Energy relative to the elements = -403 meV/atom

No. 3
The following is a PBE calculation of crystalline LiTmAg2Cl6 at its relaxed geometry, from the Alexandria database.

The structure in POSCAR format:
```
LiTmAg2Cl6
1.0
3.3831 1.9532 6.0720
-3.3831 1.9532 6.0720
0.0000 -3.9065 6.0720
Li Tm Ag Cl
1 1 2 6
Cartesian
0.0000 0.0000 0.0000 Li
0.0000 0.0000 9.1818 Tm
0.0000 0.0000 3.7898 Ag
0.0000 0.0000 12.8997 Ag
-0.8802 -1.9903 7.7379 Cl
-2.0830 -0.1830 10.7792 Cl
-1.2835 1.7574 7.7379 Cl
1.2000 -1.7124 10.7791 Cl
2.1637 0.2329 7.7379 Cl
0.8830 1.8954 10.7791 Cl
```

Raw formation energy = -1.44 eV per atom

No. 4
The following is a PBE calculation of crystalline AgAsSe2 at its relaxed geometry, from the Alexandria database.

The structure in POSCAR format:
```
AgAsSe2
1.0
1.9345 1.1169 6.8523
-1.9345 1.1169 6.8523
0.0000 -2.2338 6.8523
Ag As Se
1 1 2
Cartesian
0.0000 0.0000 0.0000 Ag
0.0000 0.0000 3.4669 As
0.0000 0.0000 11.8930 Se
0.0000 0.0000 15.5919 Se
```

Raw formation energy = -0.05 eV per atom

No. 5
The following is a PBE calculation of crystalline TaBr at its relaxed geometry, from the Alexandria database.

The structure in POSCAR format:
```
TaBr
1.0
3.0598 0.0000 0.0000
0.0000 3.0598 0.0000
0.0000 0.0000 4.0192
Ta Br
1 1
Cartesian
0.0000 0.0000 0.0000 Ta
1.5299 1.5299 2.0096 Br
```

Raw formation energy = 1.02 eV per atom

No. 6
The following is a PBE calculation of crystalline CdPH at its relaxed geometry, from the Alexandria database.

The structure in POSCAR format:
```
CdPH
1.0
4.4104 0.0000 0.0000
2.1965 3.8497 0.0000
2.1763 1.3078 3.6353
Cd P H
1 1 1
Cartesian
0.0000 0.0000 0.0000 Cd
5.7467 1.7890 1.2609 P
4.5637 2.4593 1.7197 H
```

Relative energy among the computed polymorphs = 28 meV per atom

No. 7
The following is a PBE calculation of crystalline BeRh2C at its relaxed geometry, from the Alexandria database.

The structure in POSCAR format:
```
BeRh2C
1.0
0.0000 2.7465 2.7465
2.7465 0.0000 2.7465
2.7465 2.7465 0.0000
Be Rh C
1 2 1
Cartesian
0.0000 0.0000 0.0000 Be
1.3733 1.3733 1.3733 Rh
4.1198 4.1198 4.1198 Rh
2.7465 2.7465 2.7465 C
```

Relative energy among the computed polymorphs = 115 meV per atom
Energy relative to the elements = 461 meV/atom

No. 8
The following is a PBE calculation of crystalline Yb3In3Ge2Au at its relaxed geometry, from the Alexandria database.

The structure in POSCAR format:
```
Yb3In3Ge2Au
1.0
7.4253 0.0000 0.0000
-3.7127 6.4305 0.0000
0.0000 0.0000 4.4402
Yb In Ge Au
3 3 2 1
Cartesian
-1.5536 2.6909 0.0000 Yb
3.1071 0.0000 0.0000 Yb
2.1591 3.7397 0.0000 Yb
-2.7848 4.8235 2.2201 In
0.9278 1.6070 2.2201 In
5.5697 0.0000 2.2201 In
0.0000 4.2870 2.2201 Ge
3.7127 2.1435 2.2201 Ge
0.0000 0.0000 0.0000 Au
```

Energy relative to the elements = -609 meV/atom

No. 9
The following is a PBE calculation of crystalline Ho4Ag at its relaxed geometry, from the Alexandria database.

The structure in POSCAR format:
```
Ho4Ag
1.0
0.0000 7.6511 3.0999
5.9456 0.0000 3.0999
5.9456 7.6511 0.0000
Ho Ag
8 2
Cartesian
6.6558 2.9933 3.0999 Ho
5.2178 6.0711 2.9789 Ho
8.2082 6.8188 4.6499 Ho
6.6734 9.2312 2.9789 Ho
9.6462 9.8966 4.5289 Ho
5.2354 12.3090 3.0999 Ho
8.1906 13.0568 4.5289 Ho
3.6830 8.4834 4.6499 Ho
5.9456 7.6511 0.3199 Ag
2.9728 3.8256 1.8699 Ag
```

Relative energy among the computed polymorphs = 0 meV per atom
Energy relative to the elements = -3 meV/atom

No. 10
The following is a PBE calculation of crystalline CsGa3Ru at its relaxed geometry, from the Alexandria database.

The structure in POSCAR format:
```
CsGa3Ru
1.0
5.8635 0.0000 0.0000
0.0000 5.8635 0.0000
0.0000 0.0000 5.8635
Cs Ga Ru
1 3 1
Cartesian
0.0000 0.0000 0.0000 Cs
0.0000 0.0000 2.9317 Ga
0.0000 2.9317 0.0000 Ga
2.9317 0.0000 0.0000 Ga
2.9317 2.9317 2.9317 Ru
```

Relative energy among the computed polymorphs = 2307 meV per atom
Energy relative to the elements = 2075 meV/atom

No. 11
The following is a PBE calculation of crystalline Sm2YTmSe6 at its relaxed geometry, from the Alexandria database.

The structure in POSCAR format:
```
Sm2YTmSe6
1.0
3.6375 2.1001 6.4962
-3.6375 2.1001 6.4962
0.0000 -4.2002 6.4962
Sm Y Tm Se
2 1 1 6
Cartesian
0.0000 0.0000 0.0000 Sm
0.0000 0.0000 9.7330 Sm
0.0000 0.0000 3.8695 Y
0.0000 0.0000 13.5976 Tm
-2.6208 0.1284 8.4865 Se
-1.0226 -1.9377 11.7510 Se
1.1992 -2.3339 8.4865 Se
-1.1668 1.8545 11.7510 Se
1.4216 2.2055 8.4865 Se
2.1894 0.0833 11.7510 Se
```

Raw formation energy = -1.85 eV per atom

No. 12
The following is a PBE calculation of crystalline TbEr2Hf at its relaxed geometry, from the Alexandria database.

The structure in POSCAR format:
```
TbEr2Hf
1.0
1.6608 0.9589 11.9378
-1.6608 0.9589 11.9378
0.0000 -1.9177 11.9378
Tb Er Hf
1 2 1
Cartesian
0.0000 0.0000 0.0000 Tb
0.0000 0.0000 14.8060 Er
0.0000 0.0000 21.0074 Er
0.0000 0.0000 17.9067 Hf
```

Relative energy among the computed polymorphs = 259 meV per atom
Energy relative to the elements = 358 meV/atom

The records above yield magnetic moment values of 0.00 0.00 0.00 0.00 0.00 0.00 0.00 0.59 0.00 1.81 0.00 0.00 μB per formula unit, respectively.